! NaMnPO4 | Alexandria via LeMat-Bulk | GGA+U | relaxed; values from VASP
! total magnetization: 5.000 μB per formula unit
! energy above the most stable polymorph in this dataset: 9 kJ/mol of formula units
! electronic total energy: -7.03 eV/atom
! symmetry: Pnma, No. 62
&SYSTEM
  ibrav = 0, nat = 28, ntyp = 4
/
ATOMIC_SPECIES
Na 22.99 Na.upf
Mn 54.94 Mn.upf
P 30.97 P.upf
O 16.00 O.upf
CELL_PARAMETERS angstrom
9.2124 0.0000 0.0000
0.0000 6.9761 0.0000
0.0000 0.0000 5.1716
ATOMIC_POSITIONS crystal
Na 0.1499 0.2500 0.0266
Na 0.3501 0.7500 0.5266
Na 0.6499 0.2500 0.4734
Na 0.8501 0.7500 0.9734
Mn 0.0000 0.0000 0.5000
Mn 0.0000 0.5000 0.5000
Mn 0.5000 0.0000 0.0000
Mn 0.5000 0.5000 0.0000
P 0.1759 0.7500 0.0292
P 0.3241 0.2500 0.5292
P 0.6759 0.7500 0.4708
P 0.8241 0.2500 0.9708
O 0.1203 0.7500 0.7432
O 0.1215 0.5686 0.1699
O 0.1215 0.9314 0.1699
O 0.1529 0.2500 0.5426
O 0.3471 0.7500 0.0426
O 0.3785 0.0686 0.6699
O 0.3785 0.4314 0.6699
O 0.3797 0.2500 0.2432
O 0.6203 0.7500 0.7568
O 0.6215 0.5686 0.3301
O 0.6215 0.9314 0.3301
O 0.6529 0.2500 0.9574
O 0.8471 0.7500 0.4574
O 0.8785 0.0686 0.8301
O 0.8785 0.4314 0.8301
O 0.8797 0.2500 0.2568